Crystalline NiPN2F at its relaxed geometry, computed with GGA+U.

Lattice parameters (Å, degrees): 3.4935 3.4935 3.7752 90.00 90.00 90.00
Last column: nearest neighbours and their distance in Å.
Element x y z (fractional)
F 0.0000 0.0000 0.5000  2 P 1.89
P 0.0000 0.0000 0.0000  4 N 1.75, 2 F 1.89
N 0.5000 0.0000 0.0000  2 P 1.75
Ni 0.5000 0.5000 0.5000  4 F 2.47, 8 N 2.57
N 0.0000 0.5000 0.0000  2 P 1.75

Output
spin magnetization: 1.84 μB per formula unit
calculated volume: 46.1 Å³/f.u.
energy above the lowest structure with this stoichiometry: 0.000 eV/atom
N(E_F): 0.98 states/eV/f.u.
symmetry: P4/mmm (123)


Crystalline Ni2PdNF at its relaxed geometry, computed with GGA+U.

Lattice parameters (Å, degrees): 3.9413 3.9938 3.9413 90.00 90.00 90.00
Last column: nearest neighbours and their distance in Å.
Element x y z (fractional)
Ni 0.5000 0.0000 0.0000  2 N 1.97
N 0.0000 0.0000 0.0000  4 Ni 1.97, 2 Pd 2.00
Pd 0.0000 0.5000 0.0000  2 N 2.00
F 0.5000 0.5000 0.5000  4 Pd 2.79, 8 Ni 2.81
Ni 0.0000 0.0000 0.5000  2 N 1.97

Output
VASP energy: -3.844 eV/atom
spin magnetization: 1.32 μB per formula unit
calculated volume: 62.0 Å³/f.u.
N(E_F): 2.23 states/eV/f.u.
symmetry: P4/mmm (123)


Crystalline NiPtNF2 at its relaxed geometry, computed with GGA+U.

Lattice parameters (Å, degrees): 3.4242 3.4242 6.2862 90.00 90.00 90.00
Last column: nearest neighbours and their distance in Å.
Element x y z (fractional)
F 0.5000 0.0000 0.0000  2 Ni 1.71
N 0.0000 0.0000 0.5000  4 Pt 2.42
F 0.0000 0.5000 0.0000  2 Ni 1.71
Ni 0.0000 0.0000 0.0000  4 F 1.71
Pt 0.5000 0.5000 0.5000  4 N 2.42

Output
spin magnetization: 0.88 μB per formula unit
calculated volume: 73.7 Å³/f.u.
energy above the lowest structure with this stoichiometry: 0.000 eV/atom
N(E_F): 3.33 states/eV/f.u.
symmetry: P4/mmm (123)